Entry 1:
Ho3PtRh8 after structural relaxation, computed with PBE.

Cell lengths 9.147, 9.147, 9.147 Å; angles 33.49, 33.49, 33.49 degrees
Atoms (fractional coordinates):
Ho 0.000 0.000 0.000
Ho 0.131 0.131 0.131
Ho 0.518 0.518 0.518
Pt 0.641 0.641 0.641
Rh 0.069 0.568 0.568
Rh 0.070 0.070 0.568
Rh 0.070 0.568 0.070
Rh 0.318 0.318 0.318
Rh 0.568 0.069 0.568
Rh 0.568 0.070 0.070
Rh 0.568 0.568 0.069
Rh 0.819 0.819 0.819

Values from the calculation:
Its magnetization is 0.000 μB per atom. As for the formation energy: -0.56 eV/atom.

Entry 2:
Ag2BrO after structural relaxation, computed with PBE.

Cell lengths 6.532, 6.532, 6.532 Å; angles 32.63, 32.63, 32.63 degrees
Atoms (fractional coordinates):
Ag 0.229 0.229 0.229
Ag 0.771 0.771 0.771
Br 0.000 0.000 0.000
O 0.500 0.500 0.500

Values from the calculation:
The value obtained for the energy above the most stable polymorph in this dataset is 52 meV/atom. Its magnetization is 0.128 μB per atom.

Entry 3:
Rb2NaRu after structural relaxation, computed with PBE.

Cell lengths 9.899, 9.899, 9.899 Å; angles 119.75, 119.75, 90.43 degrees
Atoms (fractional coordinates):
Rb 0.000 0.000 0.000
Rb 0.000 0.000 0.500
Rb 0.000 0.500 0.000
Rb 0.500 0.000 0.500
Na 0.375 0.625 0.750
Na 0.625 0.375 0.250
Ru 0.125 0.875 0.250
Ru 0.875 0.125 0.750

Values from the calculation:
The value obtained for the energy above the most stable polymorph in this dataset is 299 meV/atom. Its magnetization is 0.542 μB per atom. As for the formation energy: 1.41 eV/atom.

Question: The lowest magnetization belongs to which entry?
Answer: Ho3PtRh8

Question: Which value of magnetization does entry 3 give?
Answer: 0.542 μB per atom

Question: Which value of magnetization does entry 2 give?
Answer: 0.128 μB per atom

Question: Which formula does entry 1 have?
Answer: Ho3PtRh8